The following is a DFT calculation (PBE) of a geometry-optimized Rb2CdTe2 structure.

The structure in CIF format:
```
data_Rb2CdTe2
_chemical_formula_sum 'Rb4 Cd2 Te4'
_space_group_name_H-M_alt 'I 4/m m m'
_space_group_IT_number 139
_space_group_name_Hall '-I 4 2'
_cell_length_a 7.091
_cell_length_b 7.091
_cell_length_c 14.711
_cell_angle_alpha 90.00
_cell_angle_beta 90.00
_cell_angle_gamma 90.00
loop_
_atom_site_label
_atom_site_type_symbol
_atom_site_fract_x
_atom_site_fract_y
_atom_site_fract_z
Rb1 Rb 0.000 0.500 0.250
Cd1 Cd 0.000 0.000 0.000
Te1 Te 0.000 0.000 0.179
```

Calculated values
The density of states at the Fermi level comes out at 0.00 states/eV/cell. The calculation puts the magnetization at 0.000 μB/f.u. The raw formation energy is -0.745 eV/atom.